No. 1
Material: Ba2Pd2Au
Method: DFT, PBE-GGA
State: relaxed

Cell and atoms, written as POSCAR:
```
Ba2Pd2Au
1.0
3.9971 0.0000 0.0000
0.0000 3.9971 0.0000
1.9986 1.9986 9.0634
Ba Au Pd
2 1 2
Cartesian
3.9971 3.9971 6.9931 Ba
1.9986 1.9986 2.0703 Ba
0.0000 0.0000 0.0000 Au
1.9986 3.9971 4.5317 Pd
3.9971 1.9986 4.5317 Pd
```

## Properties
Energy above the lowest structure with this stoichiometry in meV per atom: 158
Energy of formation from the pure elements in eV per atom: -0.446
Density in g cm⁻³: 7.849
Electronic total energy in eV per atom: -3.95
Space group: I4/mmm
DOS(E_F) in states/eV per atom: 0.693

No. 2
Material: Sr2Cu6SiIr
Method: DFT, PBE-GGA
State: relaxed

Cell and atoms, written as POSCAR:
```
Sr2Cu6SiIr
1.0
-0.5848 3.5217 -5.5036
-0.1573 -5.4195 -3.4421
-4.9042 -0.8904 -3.9627
Cu Sr Si Ir
6 2 1 1
Cartesian
-1.0222 1.2220 -5.3805 Cu
-4.6242 -4.0102 -7.5280 Cu
-2.6364 -0.3491 -3.8191 Cu
-3.0100 -2.4390 -9.0893 Cu
-5.0297 -1.8371 -10.8613 Cu
-0.6167 -0.9511 -2.0472 Cu
-2.2646 -3.0958 -5.6450 Sr
-3.3817 0.3076 -7.2635 Sr
0.0000 0.0000 0.0000 Si
-0.3711 -0.9489 -4.4728 Ir
```

## Properties
Density in g cm⁻³: 6.719
Electronic total energy in eV per atom: -4.31
Formation energy from raw total energies in meV per atom: -87
Space group: P-1
DOS(E_F) in states/eV per atom: 0.308

No. 3
Material: ZrTiAsC2
Method: DFT, PBE-GGA
State: relaxed

Cell and atoms, written as POSCAR:
```
ZrTiAsC2
1.0
-2.3804 1.8022 2.6082
1.6953 -2.0324 2.9516
3.4057 3.6711 0.5717
C As Zr Ti
2 1 1 1
Cartesian
0.8477 -1.0162 1.4758 C
-1.1902 0.9011 1.3041 C
1.7028 1.8355 0.2858 As
1.3603 1.7204 3.0657 Zr
0.0000 0.0000 0.0000 Ti
```

## Properties
Energy of formation from the pure elements in eV per atom: 0.793
Density in g cm⁻³: 4.990
Electronic total energy in eV per atom: -7.12
Space group: P4/mmm
DOS(E_F) in states/eV per atom: 0.732

No. 4
Material: Na4CeY3Te8
Method: DFT, PBE-GGA
State: relaxed

Cell and atoms, written as POSCAR:
```
Na4CeY3Te8
1.0
8.9301 0.0000 0.0000
0.0000 9.1485 0.1444
-4.4651 -4.4612 6.3165
Te Y Na Ce
8 3 4 1
Cartesian
6.6501 2.3634 0.1217 Te
0.0000 0.1701 3.2726 Te
4.4651 0.1803 3.2130 Te
2.1850 2.3239 6.3393 Te
-2.1850 2.3239 6.3393 Te
0.0000 4.5070 3.2479 Te
4.4651 4.5171 3.1883 Te
2.2800 2.3634 0.1217 Te
2.2325 2.3436 3.2305 Y
-2.2325 2.3436 3.2305 Y
4.4651 4.5742 0.0722 Y
-2.2325 -2.2306 3.1583 Na
2.2325 -2.2306 3.1583 Na
0.0000 0.0000 0.0000 Na
4.4651 0.0000 0.0000 Na
0.0000 4.5742 0.0722 Ce
```

## Properties
Density in g cm⁻³: 4.836
Electronic total energy in eV per atom: -4.79
Formation energy from raw total energies in meV per atom: -1308
Space group: R-3m
DOS(E_F) in states/eV per atom: 0.530

No. 5
Material: YTi3Sn
Method: DFT, PBE-GGA
State: relaxed

Cell and atoms, written as POSCAR:
```
YTi3Sn
1.0
5.0926 0.0000 0.0000
0.0000 5.0926 0.0000
0.0000 0.0000 5.0926
Ti Y Sn
3 1 1
Cartesian
2.5463 0.0000 0.0000 Ti
0.0000 2.5463 0.0000 Ti
0.0000 0.0000 2.5463 Ti
2.5463 2.5463 2.5463 Y
0.0000 0.0000 0.0000 Sn
```

## Properties
Energy above the lowest structure with this stoichiometry in meV per atom: 0
Energy of formation from the pure elements in eV per atom: 0.738
Density in g cm⁻³: 4.416
Electronic total energy in eV per atom: -6.09
Space group: Pm-3m
DOS(E_F) in states/eV per atom: 2.207

No. 6
Material: Co2WAu
Method: DFT, PBE-GGA
State: relaxed

Cell and atoms, written as POSCAR:
```
Co2WAu
1.0
4.4738 0.0034 -0.0065
1.0550 4.3476 0.0065
-2.7601 -2.1810 2.7640
Au W Co
1 1 2
Cartesian
0.5297 2.1710 1.3853 Au
2.2390 -0.0010 1.3788 W
5.5285 4.3507 0.0000 Co
2.7647 2.1758 0.0000 Co
```

## Properties
Energy above the lowest structure with this stoichiometry in meV per atom: 41
Energy of formation from the pure elements in eV per atom: 0.196
Density in g cm⁻³: 15.406
Electronic total energy in eV per atom: -7.41
Space group: I4/mmm
DOS(E_F) in states/eV per atom: 0.704

No. 7
Material: RbBiPdF6
Method: DFT, PBE-GGA
State: relaxed

Cell and atoms, written as POSCAR:
```
RbBiPdF6
1.0
6.8155 -0.2811 -0.0512
3.1118 5.3467 0.0874
-0.1898 0.1467 4.4880
Rb Bi Pd F
1 1 1 6
Cartesian
6.5694 -0.0952 3.7865 Rb
3.1649 1.8581 1.8812 Bi
6.5747 3.5993 2.2449 Pd
5.2615 2.1941 2.8909 F
7.7519 5.0612 1.5632 F
7.7028 2.0397 1.5451 F
3.4688 3.9499 1.6771 F
2.6204 2.3438 3.9530 F
5.5717 5.1111 3.0783 F
```

## Properties
Density in g cm⁻³: 5.110
Electronic total energy in eV per atom: -4.47
Formation energy from raw total energies in meV per atom: -2110
Space group: P1

No. 8
Material: Na2DySn3S6
Method: DFT, PBE-GGA
State: relaxed

Cell and atoms, written as POSCAR:
```
Na2DySn3S6
1.0
-3.4304 1.1660 -6.0367
2.9371 -6.2695 1.2789
-5.5197 -0.3889 4.4090
S Dy Na Sn
6 1 2 3
Cartesian
-2.4392 -0.1976 -1.1979 S
-5.5201 -3.0221 -1.3871 S
-4.2165 -1.4650 2.1810 S
-1.7965 -4.0274 -2.5298 S
-0.4928 -2.4704 1.0382 S
-3.5738 -5.2949 0.8491 S
0.0000 0.0000 0.0000 Dy
-1.3214 -1.2968 -3.6136 Na
0.8281 -3.8067 -1.1442 Na
-0.8598 -5.2530 2.2919 Sn
-3.0065 -2.7462 -0.1744 Sn
-5.1532 -0.2394 -2.6408 Sn
```

## Properties
Density in g cm⁻³: 4.402
Electronic total energy in eV per atom: -4.61
Formation energy from raw total energies in meV per atom: -945
Space group: C2/m
DOS(E_F) in states/eV per atom: 0.366

No. 9
Material: SiAg2Sb
Method: DFT, PBE-GGA
State: relaxed

Cell and atoms, written as POSCAR:
```
SiAg2Sb
1.0
-0.2296 -2.8967 -4.4086
1.9325 -4.8195 0.9578
-3.6373 2.8955 2.5029
Ag Sb Si
2 1 1
Cartesian
0.0000 0.0000 0.0000 Ag
-0.4267 -2.8910 0.8677 Ag
0.8514 -3.8581 -1.7254 Sb
-1.5077 -1.9296 -1.8155 Si
```

## Properties
Energy above the lowest structure with this stoichiometry in meV per atom: 77
Density in g cm⁻³: 7.577
Electronic total energy in eV per atom: -3.49
Formation energy from raw total energies in meV per atom: 321
Space group: I-4m2
DOS(E_F) in states/eV per atom: 0.377

No. 10
Material: TlSbPF
Method: DFT, PBE-GGA
State: relaxed

Cell and atoms, written as POSCAR:
```
TlSbPF
1.0
-0.4924 -3.6841 0.8740
-0.4860 1.1907 -3.5951
23.5013 -4.2267 -4.5765
Tl F Sb P
3 3 3 3
Cartesian
16.6669 -2.9975 -3.2456 Tl
0.5091 -2.2389 -0.8103 Tl
8.3450 -2.0229 -3.8255 Tl
2.2545 -0.4055 -0.4390 F
17.4340 -3.6575 -5.5955 F
9.5980 -3.8735 -2.5802 F
4.1277 -1.2644 -3.0043 Sb
12.4496 -2.2391 -2.4244 Sb
19.7931 -5.7071 -4.5656 Sb
21.6572 -3.8950 -4.2174 P
5.4994 -3.1364 -1.7821 P
13.3353 -2.9204 -4.7973 P
```

## Properties
Energy above the lowest structure with this stoichiometry in meV per atom: 3
Density in g cm⁻³: 6.104
Electronic total energy in eV per atom: -4.21
Formation energy from raw total energies in meV per atom: -764
Space group: R3m

No. 11
Material: BaLiZrGa2
Method: DFT, PBE-GGA
State: relaxed

Cell and atoms, written as POSCAR:
```
BaLiZrGa2
1.0
-1.4529 -0.3864 -5.0927
-3.8610 -3.6317 1.3770
-3.4743 3.9557 0.6911
Ba Ga Li Zr
1 2 1 1
Cartesian
-4.3941 -0.0312 -1.5123 Ba
-1.7371 1.9778 0.3455 Ga
-0.7265 -0.1932 -2.5463 Ga
-1.9305 -1.8158 0.6885 Li
0.0000 0.0000 0.0000 Zr
```

## Properties
Energy of formation from the pure elements in eV per atom: 0.154
Density in g cm⁻³: 4.032
Electronic total energy in eV per atom: -3.53
Space group: P4/mmm
DOS(E_F) in states/eV per atom: 0.968

No. 12
Material: LaTcRh2
Method: DFT, PBE-GGA
State: relaxed

Cell and atoms, written as POSCAR:
```
LaTcRh2
1.0
0.7836 -1.4394 4.4433
2.6928 2.6083 2.8940
-1.9777 2.3201 3.6243
La Tc Rh
1 1 2
Cartesian
0.7494 1.7445 5.4808 La
0.0000 0.0000 0.0000 Tc
0.3747 0.8722 2.7404 Rh
1.1241 2.6167 8.2212 Rh
```

## Properties
Energy above the lowest structure with this stoichiometry in meV per atom: 132
Energy of formation from the pure elements in eV per atom: 0.076
Density in g cm⁻³: 9.787
Electronic total energy in eV per atom: -7.42
Space group: Fm-3m
DOS(E_F) in states/eV per atom: 0.642